Al3CrNi12 GGA-PBE relaxed; SG = P4/mmm; mass density = 7736 kg/m³; energy relative to the elements = -0.339 eV per atom; spin magnetization = 0.013 μB per atom; final energy = -5.9778 eV/atom
1.0
3.555 0.000 0.000
0.000 3.555 0.000
0.000 0.000 14.219
Al Cr Ni
3 1 12
Cartesian
0.000 0.000 0.000 Al
0.000 0.000 3.537 Al
0.000 0.000 10.682 Al
0.000 0.000 7.110 Cr
0.000 1.778 1.782 Ni
0.000 1.778 5.381 Ni
0.000 1.778 8.838 Ni
0.000 1.778 12.437 Ni
1.778 0.000 1.782 Ni
1.778 0.000 5.381 Ni
1.778 0.000 8.838 Ni
1.778 0.000 12.437 Ni
1.778 1.778 0.000 Ni
1.778 1.778 3.579 Ni
1.778 1.778 7.110 Ni
1.778 1.778 10.640 Ni